DFT (SCAN) results for MgScTl2 at its PBEsol-relaxed geometry.

Computed properties:
**Crystal system**: cubic
**Energy of formation**: 0.045 eV/atom
**N(E_F)**: 3.3 states/eV per cell
**Space-group type**: F-43m (216)

a = 5.162 Å, b = 5.162 Å, c = 5.162 Å
α = 60.00°, β = 60.00°, γ = 60.00°
Sites, in units of the cell vectors:
Tl (0.750, 0.750, 0.750)
Tl (0.000, 0.000, 0.000)
Sc (0.250, 0.250, 0.250)
Mg (0.500, 0.500, 0.500)